DFT (GGA-PBE) results for an optimized crystal structure of NbInRh2.

Output
- DFT formation energy (eV/atom) = -0.43
- crystal system = tetragonal
- volume (Å³/cell) = 66
- N(E_F) (states/eV per atom) = 0.800

```
data_NbInRh2
_symmetry_space_group_name_H-M 'P 4/m m m'
_symmetry_Int_Tables_number 123
_symmetry_space_group_name_Hall '-P 4 2'
_cell_length_a 2.981
_cell_length_b 2.981
_cell_length_c 7.447
_cell_angle_alpha 90.00
_cell_angle_beta 90.00
_cell_angle_gamma 90.00
loop_
_atom_site_label
_atom_site_fract_x
_atom_site_fract_y
_atom_site_fract_z
_atom_site_occupancy
Nb1 0.000 0.000 0.000 1
In1 0.000 0.000 0.500 1
Rh1 0.500 0.500 0.245 1
```